*A*
Here is a relaxed Na2Tl2In crystal from Alexandria via LeMat-Bulk. Energies are from PBE.

The structure in POSCAR format:
```
Na2Tl2In
1.0
8.3210 0.0000 0.0000
0.0000 8.3210 0.0000
0.0000 0.0000 4.2236
Na Tl In
4 4 2
Direct
0.1640 0.3360 0.0000
0.3360 0.8360 0.0000
0.6640 0.1640 0.0000
0.8360 0.6640 0.0000
0.1379 0.6379 0.5000
0.3621 0.1379 0.5000
0.6379 0.8621 0.5000
0.8621 0.3621 0.5000
0.0000 0.0000 0.5000
0.5000 0.5000 0.5000
```

- Total magnetization: 0.00 μB per formula unit
- DOS at the Fermi energy: 4.46 states/eV per cell
- Theoretical density: 6.5 g cm⁻³

***

*B*
Here is a relaxed Na2Tl2In crystal from Alexandria via LeMat-Bulk. Energies are from PBE.

The structure in POSCAR format:
```
Na2Tl2In
1.0
-2.2112 2.2112 7.6386
2.2112 -2.2112 7.6386
2.2112 2.2112 -7.6386
Na Tl In
2 2 1
Direct
0.2500 0.7500 0.5000
0.7500 0.2500 0.5000
0.0979 0.0979 0.0000
0.9021 0.9021 0.0000
0.5000 0.5000 0.0000
```

- Total magnetization: 0.00 μB per formula unit
- DOS at the Fermi energy: 2.57 states/eV per cell
- Theoretical density: 6.3 g cm⁻³

***

It comes down to *A*, which is 10.1 kJ/mol of atoms more stable than the next structure.

***

*A*
Here is a relaxed Na2Tl2In3 crystal from Alexandria via LeMat-Bulk. Energies are from PBE.

The structure in POSCAR format:
```
Na2Tl2In3
1.0
5.2328 0.0000 0.0000
0.0000 3.4180 0.0000
-2.5039 0.0000 11.0477
Na Tl In
2 2 3
Direct
0.1421 0.0000 0.2869
0.8579 0.0000 0.7131
0.4240 0.5000 0.8457
0.5760 0.5000 0.1543
0.0000 0.5000 0.0000
0.2812 0.5000 0.5638
0.7188 0.5000 0.4362
```

- Total magnetization: 0.00 μB per formula unit
- DOS at the Fermi energy: 3.14 states/eV per cell
- Theoretical density: 6.7 g cm⁻³

***

*B*
Here is a relaxed Na2Tl2In3 crystal from Alexandria via LeMat-Bulk. Energies are from PBE.

The structure in POSCAR format:
```
Na2Tl2In3
1.0
5.1477 -2.4430 0.0000
5.1477 2.4430 0.0000
-1.6129 0.0000 7.6317
Na Tl In
2 2 3
Direct
0.0755 0.0755 0.2193
0.9245 0.9245 0.7807
0.2072 0.2072 0.6451
0.7928 0.7928 0.3549
0.3568 0.3568 0.0620
0.5000 0.5000 0.5000
0.6432 0.6432 0.9380
```

- Total magnetization: 0.00 μB per formula unit
- DOS at the Fermi energy: 3.10 states/eV per cell
- Theoretical density: 6.9 g cm⁻³

***

It comes down to *B*, which is 1.6 kJ/mol of atoms more stable than the next structure.

***

*A*
Here is a relaxed NaTl3In6 crystal from Alexandria via LeMat-Bulk. Energies are from PBE.

The structure in POSCAR format:
```
NaTl3In6
1.0
11.1191 0.0000 0.0000
0.0000 4.5751 0.0000
-2.4063 0.0000 11.5682
Na Tl In
2 6 12
Direct
0.2024 0.2500 0.2058
0.7976 0.7500 0.7942
0.0607 0.7500 0.7283
0.2951 0.2500 0.8217
0.3245 0.7500 0.6200
0.6755 0.2500 0.3800
0.7049 0.7500 0.1783
0.9393 0.2500 0.2717
0.0257 0.2500 0.9201
0.1096 0.2500 0.5244
0.2563 0.7500 0.0155
0.3884 0.2500 0.4532
0.4330 0.7500 0.2825
0.4788 0.2500 0.0970
0.5212 0.7500 0.9030
0.5670 0.2500 0.7175
0.6116 0.7500 0.5468
0.7437 0.2500 0.9845
0.8904 0.7500 0.4756
0.9743 0.7500 0.0799
```

- Total magnetization: 0.00 μB per formula unit
- DOS at the Fermi energy: 8.91 states/eV per cell
- Theoretical density: 7.5 g cm⁻³

***

*B*
Here is a relaxed NaTl3In6 crystal from Alexandria via LeMat-Bulk. Energies are from PBE.

The structure in POSCAR format:
```
NaTl3In6
1.0
6.6244 3.8246 1.9855
-6.6244 3.8246 1.9855
0.0000 -7.6492 1.9855
Na Tl In
1 3 6
Direct
0.0000 0.0000 0.0000
0.3008 0.3008 0.9333
0.3008 0.9333 0.3008
0.9333 0.3008 0.3008
0.3350 0.8631 0.8631
0.4704 0.4704 0.7092
0.4704 0.7092 0.4704
0.7092 0.4704 0.4704
0.8631 0.3350 0.8631
0.8631 0.8631 0.3350
```

- Total magnetization: 0.00 μB per formula unit
- DOS at the Fermi energy: 4.35 states/eV per cell
- Theoretical density: 7.3 g cm⁻³

***

It comes down to *A*, which is 6.6 kJ/mol of atoms more stable than the next structure.

***

*A*
Here is a relaxed NaTl3In crystal from Alexandria via LeMat-Bulk. Energies are from PBE.

The structure in POSCAR format:
```
NaTl3In
1.0
5.5960 0.0000 0.0000
0.0000 5.5960 0.0000
0.0000 0.0000 5.5960
Na Tl In
1 3 1
Direct
0.0000 0.0000 0.0000
0.0000 0.0000 0.5000
0.0000 0.5000 0.0000
0.5000 0.0000 0.0000
0.5000 0.5000 0.5000
```

- Total magnetization: 0.00 μB per formula unit
- DOS at the Fermi energy: 2.25 states/eV per cell
- Theoretical density: 7.1 g cm⁻³

***

*B*
Here is a relaxed NaTl3In crystal from Alexandria via LeMat-Bulk. Energies are from PBE.

The structure in POSCAR format:
```
NaTl3In
1.0
5.8530 0.0000 0.0000
0.0000 5.8530 0.0000
0.0000 0.0000 5.8530
Na Tl In
1 3 1
Direct
0.0000 0.0000 0.0000
0.0000 0.5000 0.5000
0.5000 0.0000 0.5000
0.5000 0.5000 0.0000
0.5000 0.5000 0.5000
```

- Total magnetization: 0.00 μB per formula unit
- DOS at the Fermi energy: 3.37 states/eV per cell
- Theoretical density: 6.2 g cm⁻³

***

*C*
Here is a relaxed NaTl3In crystal from Alexandria via LeMat-Bulk. Energies are from PBE.

The structure in POSCAR format:
```
NaTl3In
1.0
6.3743 0.0000 0.0000
0.0000 13.6211 0.0000
0.0000 0.0000 7.3849
Na Tl In
4 12 4
Direct
0.0000 0.0000 0.0000
0.0000 0.5000 0.0000
0.5000 0.0000 0.5000
0.5000 0.5000 0.5000
0.0009 0.1116 0.4437
0.0009 0.3884 0.4437
0.2156 0.2500 0.7879
0.2844 0.7500 0.2879
0.4991 0.6116 0.9437
0.4991 0.8884 0.9437
0.5009 0.1116 0.0563
0.5009 0.3884 0.0563
0.7156 0.2500 0.7121
0.7844 0.7500 0.2121
0.9991 0.6116 0.5563
0.9991 0.8884 0.5563
0.0962 0.7500 0.8801
0.4038 0.2500 0.3801
0.5962 0.7500 0.6199
0.9038 0.2500 0.1199
```

- Total magnetization: 0.00 μB per formula unit
- DOS at the Fermi energy: 10.11 states/eV per cell
- Theoretical density: 7.8 g cm⁻³

***

*D*
Here is a relaxed NaTl3In crystal from Alexandria via LeMat-Bulk. Energies are from PBE.

The structure in POSCAR format:
```
NaTl3In
1.0
8.4273 -3.0722 0.0000
8.4273 3.0722 0.0000
-2.8574 0.0000 11.1176
Na Tl In
4 12 4
Direct
0.0000 0.5000 0.0000
0.0628 0.9372 0.7500
0.5000 0.0000 0.5000
0.9372 0.0628 0.2500
0.1360 0.2623 0.2559
0.2004 0.6995 0.9993
0.2623 0.1360 0.7559
0.3005 0.7996 0.5007
0.3377 0.4600 0.2470
0.4600 0.3377 0.7470
0.5400 0.6623 0.2530
0.6623 0.5400 0.7530
0.6995 0.2004 0.4993
0.7377 0.8640 0.2441
0.7996 0.3005 0.0007
0.8640 0.7377 0.7441
0.0962 0.6007 0.4959
0.3993 0.9038 0.0041
0.6007 0.0962 0.9959
0.9038 0.3993 0.5041
```

- Total magnetization: 0.00 μB per formula unit
- DOS at the Fermi energy: 9.00 states/eV per cell
- Theoretical density: 8.7 g cm⁻³

***

It comes down to *D*, which is 5.7 kJ/mol of atoms more stable than the next structure.

***

*A*
Here is a relaxed NaTl4In2 crystal from Alexandria via LeMat-Bulk. Energies are from PBE.

The structure in POSCAR format:
```
NaTl4In2
1.0
2.7891 -11.0258 0.0000
2.7891 11.0258 0.0000
0.0000 0.0000 3.3469
Na Tl In
1 4 2
Direct
0.0000 0.0000 0.0000
0.1427 0.8573 0.5000
0.2931 0.7069 0.0000
0.7069 0.2931 0.0000
0.8573 0.1427 0.5000
0.4303 0.5697 0.5000
0.5697 0.4303 0.5000
```

- Total magnetization: 0.00 μB per formula unit
- DOS at the Fermi energy: 2.59 states/eV per cell
- Theoretical density: 8.6 g cm⁻³

***

*B*
Here is a relaxed NaTl4In2 crystal from Alexandria via LeMat-Bulk. Energies are from PBE.

The structure in POSCAR format:
```
NaTl4In2
1.0
-4.4745 4.8875 4.9068
4.4745 -4.8875 4.9068
4.4745 4.8875 -4.9068
Na Tl In
2 8 4
Direct
0.2500 0.3753 0.1253
0.7500 0.1247 0.3747
0.0030 0.5142 0.3590
0.0030 0.9876 0.6446
0.4970 0.1416 0.9846
0.4970 0.8560 0.5112
0.6552 0.6440 0.1410
0.6569 0.5124 0.5154
0.8431 0.3584 0.8554
0.8448 0.9858 0.9888
0.1039 0.8539 0.2500
0.1065 0.7500 0.8565
0.3935 0.2500 0.6435
0.3961 0.6461 0.7500
```

- Total magnetization: 0.00 μB per formula unit
- DOS at the Fermi energy: 8.07 states/eV per cell
- Theoretical density: 8.3 g cm⁻³

***

It comes down to *A*, which is 3.6 kJ/mol of atoms more stable than the next structure.

***

*A*
Here is a relaxed NaTl12In6 crystal from Alexandria via LeMat-Bulk. Energies are from PBE.

The structure in POSCAR format:
```
NaTl12In6
1.0
6.6356 3.8311 3.7632
-6.6356 3.8311 3.7632
0.0000 -7.6622 3.7632
Na Tl In
1 12 6
Direct
0.0000 0.0000 0.0000
0.0008 0.7412 0.2599
0.1892 0.5815 0.5794
0.2588 0.7401 0.9992
0.2599 0.0008 0.7412
0.4185 0.4206 0.8108
0.4206 0.8108 0.4185
0.5794 0.1892 0.5815
0.5815 0.5794 0.1892
0.7401 0.9992 0.2588
0.7412 0.2599 0.0008
0.8108 0.4185 0.4206
0.9992 0.2588 0.7401
0.1610 0.1638 0.4113
0.1638 0.4113 0.1610
0.4113 0.1610 0.1638
0.5887 0.8390 0.8362
0.8362 0.5887 0.8390
0.8390 0.8362 0.5887
```

- Total magnetization: 0.00 μB per formula unit
- DOS at the Fermi energy: 7.84 states/eV per cell
- Theoretical density: 9.2 g cm⁻³

***

*B*
Here is a relaxed NaTl12In6 crystal from Alexandria via LeMat-Bulk. Energies are from PBE.

The structure in POSCAR format:
```
NaTl12In6
1.0
7.2337 4.1764 3.3375
-7.2337 4.1764 3.3375
0.0000 -8.3528 3.3375
Na Tl In
1 12 6
Direct
0.0000 0.0000 0.0000
0.0974 0.3398 0.3398
0.1147 0.5000 0.8853
0.1147 0.8853 0.5000
0.3398 0.0974 0.3398
0.3398 0.3398 0.0974
0.5000 0.1147 0.8853
0.5000 0.8853 0.1147
0.6602 0.6602 0.9026
0.6602 0.9026 0.6602
0.8853 0.1147 0.5000
0.8853 0.5000 0.1147
0.9026 0.6602 0.6602
0.3029 0.6827 0.6827
0.3173 0.3173 0.6971
0.3173 0.6971 0.3173
0.6827 0.3029 0.6827
0.6827 0.6827 0.3029
0.6971 0.3173 0.3173
```

- Total magnetization: 0.00 μB per formula unit
- DOS at the Fermi energy: 8.93 states/eV per cell
- Theoretical density: 8.7 g cm⁻³

***

It comes down to *A*, which is 2.5 kJ/mol of atoms more stable than the next structure.